Entry 1:
Entry from the Alexandria database: crystalline ZrCl at its relaxed geometry (PBE-GGA).

Results
Calculated volume: 85 Å³ per cell
Mass density: 4.9 Mg/m³
Magnetic moment: 1.36 μB per cell
E: -5.9777 eV per atom
ΔE_f (raw): -780 meV per atom

```
data_ZrCl
_chemical_formula_sum 'Zr2 Cl2'
_cell_length_a 3.288
_cell_length_b 3.288
_cell_length_c 9.085
_cell_angle_alpha 90.00
_cell_angle_beta 90.00
_cell_angle_gamma 120.00
_space_group_name_H-M_alt 'P 1'
_space_group_IT_number 1
loop_
_space_group_symop_operation_xyz
'x,y,z'
loop_
_atom_site_label
_atom_site_fract_x
_atom_site_fract_y
_atom_site_fract_z
Zr1 0.333 0.667 0.000
Zr2 0.667 0.333 0.500
Cl1 0.333 0.667 0.707
Cl2 0.667 0.333 0.207
```

=====

Entry 2:
Entry from the Alexandria database: crystalline GdZnBiPd at its relaxed geometry (PBE-GGA).

Results
Calculated volume: 88 Å³ per cell
Mass density: 10.2 Mg/m³
Magnetic moment: 7.04 μB per cell
Energy of formation: -0.508 eV/atom
E: -6.6156 eV per atom

```
data_GdZnBiPd
_chemical_formula_sum 'Gd1 Zn1 Bi1 Pd1'
_cell_length_a 4.990
_cell_length_b 4.990
_cell_length_c 4.990
_cell_angle_alpha 60.00
_cell_angle_beta 60.00
_cell_angle_gamma 60.00
_space_group_name_H-M_alt 'P 1'
_space_group_IT_number 1
loop_
_space_group_symop_operation_xyz
'x,y,z'
loop_
_atom_site_label
_atom_site_fract_x
_atom_site_fract_y
_atom_site_fract_z
Gd1 0.000 0.000 0.000
Zn1 0.250 0.250 0.250
Bi1 0.500 0.500 0.500
Pd1 0.750 0.750 0.750
```

=====

Entry 3:
Entry from the Alexandria database: crystalline AcSm6YHo2 at its relaxed geometry (PBE-GGA).

Results
Calculated volume: 694 Å³ per cell
Mass density: 7.4 Mg/m³
Magnetic moment: 0.00 μB per cell
Energy of formation: 0.121 eV/atom
E: -4.6835 eV per atom

```
data_AcSm6YHo2
_chemical_formula_sum 'Ac2 Sm12 Y2 Ho4'
_cell_length_a 9.015
_cell_length_b 9.015
_cell_length_c 9.704
_cell_angle_alpha 92.98
_cell_angle_beta 92.98
_cell_angle_gamma 117.85
_space_group_name_H-M_alt 'P 1'
_space_group_IT_number 1
loop_
_space_group_symop_operation_xyz
'x,y,z'
loop_
_atom_site_label
_atom_site_fract_x
_atom_site_fract_y
_atom_site_fract_z
Ac1 0.028 0.972 0.750
Ac2 0.972 0.028 0.250
Sm1 0.013 0.556 0.682
Sm2 0.125 0.751 0.055
Sm3 0.249 0.875 0.445
Sm4 0.289 0.508 0.881
Sm5 0.444 0.987 0.818
Sm6 0.492 0.711 0.619
Sm7 0.508 0.289 0.381
Sm8 0.556 0.013 0.182
Sm9 0.711 0.492 0.119
Sm10 0.751 0.125 0.555
Sm11 0.875 0.249 0.945
Sm12 0.987 0.444 0.318
Y1 0.412 0.588 0.250
Y2 0.588 0.412 0.750
Ho1 0.204 0.315 0.547
Ho2 0.315 0.204 0.047
Ho3 0.685 0.796 0.953
Ho4 0.796 0.685 0.453
```